A PBEsol-optimized structure of DyRu3C. Source: Alexandria, functional SCAN.

Calculated values
* space group: No. 221
* ΔE_f: -0.266 eV per atom

Lattice parameters (Å, degrees): 4.1031 4.1031 4.1031 90.00 90.00 90.00
Last column: nearest neighbours and their distance in Å.
Positions (direct):
Dy: 0.0000 0.0000 0.0000  12 Ru 2.90
Ru: 0.0000 0.5000 0.5000  2 C 2.05
Ru: 0.5000 0.0000 0.5000  2 C 2.05
Ru: 0.5000 0.5000 0.0000  2 C 2.05
C: 0.5000 0.5000 0.5000  6 Ru 2.05

---

A PBEsol-optimized structure of DySiRu2C. Source: Alexandria, functional SCAN.

Calculated values
* formation energy without anion corrections: -0.7039 eV per atom
* space group: No. 63

Lattice parameters (Å, degrees): 5.8135 5.8135 7.0590 90.00 90.00 142.11
Last column: nearest neighbours and their distance in Å.
Positions (direct):
Dy: 0.0478 0.9522 0.7500  4 C 2.64
Dy: 0.9522 0.0478 0.2500  4 C 2.64
Si: 0.2309 0.7691 0.2500  6 Ru 2.44-2.46
Si: 0.7691 0.2309 0.7500  6 Ru 2.44-2.46
Ru: 0.3356 0.6644 0.5575  1 C 1.85
Ru: 0.3356 0.6644 0.9425  1 C 1.85
Ru: 0.6644 0.3356 0.0575  1 C 1.85
Ru: 0.6644 0.3356 0.4425  1 C 1.85
C: 0.5000 0.5000 0.0000  2 Ru 1.85
C: 0.5000 0.5000 0.5000  2 Ru 1.85

---

A PBEsol-optimized structure of Dy3SnC. Source: Alexandria, functional SCAN.

Calculated values
* space group: No. 221
* ΔE_f: -0.745 eV per atom

Lattice parameters (Å, degrees): 4.8237 4.8237 4.8237 90.00 90.00 90.00
Last column: nearest neighbours and their distance in Å.
Positions (direct):
Dy: 0.0000 0.0000 0.5000  2 C 2.41
Dy: 0.0000 0.5000 0.0000  2 C 2.41
Dy: 0.5000 0.0000 0.0000  2 C 2.41
Sn: 0.5000 0.5000 0.5000  12 Dy 3.41
C: 0.0000 0.0000 0.0000  6 Dy 2.41

---

A PBEsol-optimized structure of Er2C3. Source: Alexandria, functional SCAN.

Calculated values
* space group: No. 220
* ΔE_f: -0.395 eV per atom

Lattice parameters (Å, degrees): 6.9551 6.9551 6.9551 109.47 109.47 109.47
Last column: nearest neighbours and their distance in Å.
Positions (direct):
Er: 0.0000 0.3995 0.5000  6 C 2.45-2.55
Er: 0.0000 0.8995 0.5000  6 C 2.45-2.55
Er: 0.1005 0.1005 0.1005  6 C 2.45-2.55
Er: 0.3995 0.5000 0.0000  6 C 2.45-2.55
Er: 0.5000 0.0000 0.3995  6 C 2.45-2.55
Er: 0.5000 0.0000 0.8995  6 C 2.45-2.55
Er: 0.6005 0.6005 0.6005  6 C 2.45-2.55
Er: 0.8995 0.5000 0.0000  6 C 2.45-2.55
C: 0.0414 0.7500 0.7914  1 C 1.34
C: 0.2086 0.7500 0.9586  1 C 1.34
C: 0.2500 0.5414 0.2914  1 C 1.34
C: 0.2500 0.7086 0.4586  1 C 1.34
C: 0.2914 0.2500 0.5414  1 C 1.34
C: 0.4586 0.2500 0.7086  1 C 1.34
C: 0.5414 0.2914 0.2500  1 C 1.34
C: 0.7086 0.4586 0.2500  1 C 1.34
C: 0.7500 0.7914 0.0414  1 C 1.34
C: 0.7500 0.9586 0.2086  1 C 1.34
C: 0.7914 0.0414 0.7500  1 C 1.34
C: 0.9586 0.2086 0.7500  1 C 1.34

---

no.,electronic total energy (eV per atom),total magnetization (μB per formula unit)
1,-32.741,0.000
2,-28.217,0.000
3,-38.627,0.000
4,-26.591,0.000